Material: KMn2Tc
Method: DFT, GGA-PBE
State: optimized geometry

Results
- M_tot (Bohr magnetons per cell) = 23.5
- excess energy over the best structure of this formula in the dataset (meV per atom) = 809
- crystal system = cubic

a = 6.6057 Å, b = 6.6057 Å, c = 6.6057 Å
α = 90.00°, β = 90.00°, γ = 90.00°
Closest atoms and distances in Å follow each position.
Sites, in units of the cell vectors:
K (0.0000, 0.0000, 0.0000)  4 Mn 2.86, 4 Tc 2.86
K (0.0000, 0.5000, 0.5000)  4 Mn 2.86, 4 Tc 2.86
K (0.5000, 0.0000, 0.5000)  4 Mn 2.86, 4 Tc 2.86
K (0.5000, 0.5000, 0.0000)  4 Mn 2.86, 4 Tc 2.86
Mn (0.0000, 0.0000, 0.5000)  4 Mn 2.86, 4 Tc 2.86
Mn (0.0000, 0.5000, 0.0000)  4 Mn 2.86, 4 Tc 2.86
Mn (0.2500, 0.2500, 0.7500)  4 Mn 2.86, 4 K 2.86
Mn (0.2500, 0.7500, 0.2500)  4 Mn 2.86, 4 K 2.86
Mn (0.5000, 0.0000, 0.0000)  4 Mn 2.86, 4 Tc 2.86
Mn (0.5000, 0.5000, 0.5000)  4 Mn 2.86, 4 Tc 2.86
Mn (0.7500, 0.2500, 0.2500)  4 Mn 2.86, 4 K 2.86
Mn (0.7500, 0.7500, 0.7500)  4 Mn 2.86, 4 K 2.86
Tc (0.2500, 0.2500, 0.2500)  4 Mn 2.86, 4 K 2.86
Tc (0.2500, 0.7500, 0.7500)  4 Mn 2.86, 4 K 2.86
Tc (0.7500, 0.2500, 0.7500)  4 Mn 2.86, 4 K 2.86
Tc (0.7500, 0.7500, 0.2500)  4 Mn 2.86, 4 K 2.86